Material: Pa3PtRh
Method: DFT, PBE-GGA
State: relaxed

Output
- DFT total energy (eV per atom) = -8.796
- volume (Å³ per atom) = 22.69
- M_tot (μB/f.u.) = 0.0
- D(E_F) (states/eV/atom) = 1.818
- symmetry = P-1 (2)

Cell lengths 6.742, 8.665, 8.733 Å; angles 116.46, 93.93, 92.87 degrees
Atoms (fractional coordinates):
Pa: 0.006 0.135 0.338
Pa: 0.019 0.284 0.712
Pa: 0.025 0.344 0.140
Pa: 0.458 0.918 0.719
Pa: 0.467 0.716 0.910
Pa: 0.494 0.641 0.358
Pa: 0.506 0.359 0.642
Pa: 0.533 0.284 0.090
Pa: 0.542 0.082 0.281
Pa: 0.975 0.656 0.860
Pa: 0.981 0.716 0.288
Pa: 0.994 0.865 0.662
Pt: 0.206 0.537 0.539
Pt: 0.212 0.010 0.016
Pt: 0.788 0.990 0.984
Pt: 0.794 0.463 0.461
Rh: 0.281 0.497 0.008
Rh: 0.282 0.005 0.485
Rh: 0.718 0.995 0.515
Rh: 0.719 0.503 0.992

Material: DyCd4Ag5
Method: DFT, PBE-GGA
State: relaxed

Output
- DFT total energy (eV per atom) = -2.355
- volume (Å³ per atom) = 20.35
- M_tot (μB/f.u.) = 0.0
- D(E_F) (states/eV/atom) = 0.374
- symmetry = P4/mmm (123)

Cell lengths 3.478, 3.478, 16.822 Å; angles 90.00, 90.00, 90.00 degrees
Atoms (fractional coordinates):
Dy: 0.000 0.000 0.000
Cd: 0.000 0.000 0.209
Cd: 0.000 0.000 0.403
Cd: 0.000 0.000 0.597
Cd: 0.000 0.000 0.791
Ag: 0.500 0.500 0.113
Ag: 0.500 0.500 0.308
Ag: 0.500 0.500 0.500
Ag: 0.500 0.500 0.692
Ag: 0.500 0.500 0.887

Material: PmSmGa5Pt2
Method: DFT, PBE-GGA
State: relaxed

Output
- DFT total energy (eV per atom) = -4.745
- volume (Å³ per atom) = 20.04
- M_tot (μB/f.u.) = 0.0
- D(E_F) (states/eV/atom) = 0.525
- symmetry = P4/mmm (123)

Cell lengths 4.121, 4.121, 10.619 Å; angles 90.00, 90.00, 90.00 degrees
Atoms (fractional coordinates):
Pm: 0.000 0.000 0.000
Sm: 0.000 0.000 0.500
Ga: 0.000 0.500 0.277
Ga: 0.000 0.500 0.723
Ga: 0.500 0.000 0.277
Ga: 0.500 0.000 0.723
Ga: 0.500 0.500 0.500
Pt: 0.500 0.500 0.125
Pt: 0.500 0.500 0.875

Material: TmCu4Bi
Method: DFT, PBE-GGA
State: relaxed

Output
- DFT total energy (eV per atom) = -4.241
- volume (Å³ per atom) = 16.98
- M_tot (μB/f.u.) = 0.0
- D(E_F) (states/eV/atom) = 0.424
- symmetry = F-43m (216)

Cell lengths 5.242, 5.242, 5.242 Å; angles 60.00, 60.00, 60.00 degrees
Atoms (fractional coordinates):
Tm: 0.000 0.000 0.000
Cu: 0.374 0.374 0.374
Cu: 0.374 0.374 0.878
Cu: 0.374 0.878 0.374
Cu: 0.878 0.374 0.374
Bi: 0.750 0.750 0.750